# 1
Dy3ErIn2: optimized geometry, PBE-GGA.

## Properties
formation energy from the elements: -0.357 eV per atom
DFT total energy: -4.3309 eV per atom
energy above the most stable polymorph in this dataset: 0.000 eV/atom

Unit cell a=5.1671 b=6.7009 c=9.8055 alpha=90.00 beta=90.00 gamma=90.00
Last column: nearest neighbours and their distance in Å.
Element x y z (fractional)
Dy (0.0000, 0.9636, 0.0363)  5 In 3.23-3.56, 4 Dy 3.43-3.49
Dy (0.0000, 0.4636, 0.9637)  5 In 3.23-3.56, 4 Dy 3.43-3.49
Dy (0.0000, 0.8148, 0.6802)  5 In 3.16-3.53, 2 Er 3.48
Dy (0.0000, 0.3148, 0.3198)  5 In 3.16-3.53, 2 Er 3.48
Dy (0.5000, 0.1853, 0.8174)  5 In 3.19-3.53, 2 Dy 3.49
Dy (0.5000, 0.6853, 0.1826)  5 In 3.19-3.53, 2 Dy 3.49
In (0.0000, 0.7916, 0.3582)  6 Dy 3.16-3.53, 2 Er 3.23
In (0.5000, 0.2090, 0.1421)  9 Dy 3.19-3.56, 1 Er 3.35
In (0.0000, 0.2916, 0.6418)  6 Dy 3.16-3.53, 2 Er 3.23
In (0.5000, 0.7090, 0.8579)  9 Dy 3.19-3.56, 1 Er 3.35
Er (0.5000, 0.5358, 0.5371)  5 In 3.23-3.56, 2 Er 3.43, 2 Dy 3.48
Er (0.5000, 0.0358, 0.4629)  5 In 3.23-3.56, 2 Er 3.43, 2 Dy 3.48

=====

# 2
HoPdPtPb: optimized geometry, PBE-GGA.

## Properties
formation energy from the elements: -0.738 eV per atom
DFT total energy: -5.6178 eV per atom

Unit cell a=4.8711 b=4.8711 c=4.8711 alpha=60.00 beta=60.00 gamma=60.00
Last column: nearest neighbours and their distance in Å.
Element x y z (fractional)
Pd (0.2500, 0.2500, 0.2500)  4 Ho 2.98, 4 Pb 2.98
Pb (0.5000, 0.5000, 0.5000)  4 Pd 2.98, 4 Pt 2.98
Ho (0.0000, 0.0000, 0.0000)  4 Pt 2.98, 4 Pd 2.98
Pt (0.7500, 0.7500, 0.7500)  4 Pb 2.98, 4 Ho 2.98

=====

# 3
Co3SnI: optimized geometry, PBE-GGA.

## Properties
formation energy without anion corrections: 1.217 eV per atom
DFT total energy: -4.1575 eV per atom
energy above the most stable polymorph in this dataset: 0.000 eV/atom

Unit cell a=4.6493 b=4.6493 c=4.6493 alpha=90.00 beta=90.00 gamma=90.00
Last column: nearest neighbours and their distance in Å.
Element x y z (fractional)
Co (0.0000, 0.0000, 0.5000)  2 I 2.32
Co (0.0000, 0.5000, 0.0000)  2 I 2.32
Co (0.5000, 0.0000, 0.0000)  2 I 2.32
I (0.0000, 0.0000, 0.0000)  6 Co 2.32
Sn (0.5000, 0.5000, 0.5000)  12 Co 3.29

=====

# 4
CrFeCo6: optimized geometry, PBE-GGA.

## Properties
formation energy from the elements: 0.034 eV per atom
DFT total energy: -7.5565 eV per atom
energy above the most stable polymorph in this dataset: 0.005 eV/atom

Unit cell a=6.1057 b=6.1057 c=9.9829 alpha=90.00 beta=90.00 gamma=109.28
Last column: nearest neighbours and their distance in Å.
Element x y z (fractional)
Co (0.8774, 0.6278, 0.6236)  1 Cr 2.47, 8 Co 2.49-2.52, 3 Fe 2.49-2.51
Co (0.6253, 0.8768, 0.3737)  8 Co 2.47-2.50, 3 Cr 2.47-2.51, 1 Fe 2.52
Co (0.8768, 0.6253, 0.3737)  8 Co 2.47-2.50, 3 Cr 2.47-2.51, 1 Fe 2.52
Co (0.5000, 0.5000, 0.7500)  4 Fe 2.48, 8 Co 2.51
Co (0.3722, 0.1226, 0.8764)  1 Cr 2.47, 8 Co 2.49-2.52, 3 Fe 2.49-2.51
Co (0.7512, 0.2488, 0.0030)  2 Cr 2.47-2.48, 8 Co 2.47-2.52, 2 Fe 2.50-2.53
Co (0.3747, 0.1232, 0.1263)  8 Co 2.47-2.50, 3 Cr 2.47-2.51, 1 Fe 2.52
Co (0.1226, 0.3722, 0.8764)  1 Cr 2.47, 8 Co 2.49-2.52, 3 Fe 2.49-2.51
Co (0.1232, 0.3747, 0.3737)  8 Co 2.47-2.50, 3 Cr 2.47-2.51, 1 Fe 2.52
Co (0.6278, 0.8774, 0.8764)  1 Cr 2.47, 8 Co 2.49-2.52, 3 Fe 2.49-2.51
Co (0.1232, 0.3747, 0.1263)  8 Co 2.47-2.50, 3 Cr 2.47-2.51, 1 Fe 2.52
Co (0.0000, 0.0000, 0.7500)  2 Cr 2.49, 8 Co 2.49, 2 Fe 2.50
Co (0.3722, 0.1226, 0.6236)  1 Cr 2.47, 8 Co 2.49-2.52, 3 Fe 2.49-2.51
Co (0.1226, 0.3722, 0.6236)  1 Cr 2.47, 8 Co 2.49-2.52, 3 Fe 2.49-2.51
Co (0.0000, 0.0000, 0.2500)  4 Cr 2.48-2.51, 8 Co 2.49
Co (0.2488, 0.7512, 0.4970)  2 Cr 2.47-2.48, 8 Co 2.47-2.52, 2 Fe 2.50-2.53
Co (0.5000, 0.5000, 0.2500)  8 Co 2.50, 2 Cr 2.50, 2 Fe 2.51
Co (0.8768, 0.6253, 0.1263)  8 Co 2.47-2.50, 3 Cr 2.47-2.51, 1 Fe 2.52
Co (0.8774, 0.6278, 0.8764)  1 Cr 2.47, 8 Co 2.49-2.52, 3 Fe 2.49-2.51
Co (0.6278, 0.8774, 0.6236)  1 Cr 2.47, 8 Co 2.49-2.52, 3 Fe 2.49-2.51
Co (0.7512, 0.2488, 0.4970)  2 Cr 2.47-2.48, 8 Co 2.47-2.52, 2 Fe 2.50-2.53
Co (0.3747, 0.1232, 0.3737)  8 Co 2.47-2.50, 3 Cr 2.47-2.51, 1 Fe 2.52
Co (0.2488, 0.7512, 0.0030)  2 Cr 2.47-2.48, 8 Co 2.47-2.52, 2 Fe 2.50-2.53
Co (0.6253, 0.8768, 0.1263)  8 Co 2.47-2.50, 3 Cr 2.47-2.51, 1 Fe 2.52
Cr (0.2487, 0.7513, 0.2500)  12 Co 2.47-2.50
Cr (0.0000, 0.0000, 0.9990)  12 Co 2.47-2.51
Cr (0.7513, 0.2487, 0.2500)  12 Co 2.47-2.50
Cr (0.0000, 0.0000, 0.5010)  12 Co 2.47-2.51
Fe (0.7488, 0.2512, 0.7500)  12 Co 2.48-2.53
Fe (0.5000, 0.5000, 0.5017)  12 Co 2.48-2.52
Fe (0.2512, 0.7488, 0.7500)  12 Co 2.48-2.53
Fe (0.5000, 0.5000, 0.9983)  12 Co 2.48-2.52

=====

# 5
Tb2LuAu: optimized geometry, PBE-GGA.

## Properties
formation energy from the elements: -0.261 eV per atom
DFT total energy: -4.5256 eV per atom
energy above the most stable polymorph in this dataset: 0.114 eV/atom

Unit cell a=3.6266 b=3.6266 c=10.2345 alpha=79.79 beta=79.79 gamma=60.00
Last column: nearest neighbours and their distance in Å.
Element x y z (fractional)
Au (0.0000, 0.0000, 0.0000)  6 Tb 3.02
Tb (0.7392, 0.7392, 0.7825)  3 Au 3.02
Tb (0.2609, 0.2609, 0.2175)  3 Au 3.02
Lu (0.5000, 0.5000, 0.5000)  6 Tb 3.52, 6 Lu 3.63

=====

# 6
SnTeIO2: optimized geometry, PBE-GGA.

## Properties
formation energy without anion corrections: -0.225 eV per atom
DFT total energy: -3.9468 eV per atom
energy above the most stable polymorph in this dataset: 0.000 eV/atom

Unit cell a=4.1542 b=4.1542 c=7.2113 alpha=90.00 beta=90.00 gamma=90.00
Last column: nearest neighbours and their distance in Å.
Element x y z (fractional)
O (0.0000, 0.5000, 0.0000)  2 Sn 2.08
O (0.5000, 0.0000, 0.0000)  2 Sn 2.08
I (0.0000, 0.0000, 0.5000)  4 Te 2.94
Sn (0.0000, 0.0000, 0.0000)  4 O 2.08
Te (0.5000, 0.5000, 0.5000)  4 I 2.94

=====

# 7
Zr2CdMoCl: optimized geometry, PBE-GGA.

## Properties
formation energy without anion corrections: 1.728 eV per atom
DFT total energy: -4.4094 eV per atom

Unit cell a=5.3550 b=4.6462 c=5.3550 alpha=90.00 beta=90.00 gamma=90.00
Last column: nearest neighbours and their distance in Å.
Element x y z (fractional)
Cl (0.0000, 0.5000, 0.0000)  2 Cd 2.32
Mo (0.5000, 0.5000, 0.5000)  8 Zr 3.54, 4 Cl 3.79
Zr (0.5000, 0.0000, 0.0000)  2 Cd 2.68
Zr (0.0000, 0.0000, 0.5000)  2 Cd 2.68
Cd (0.0000, 0.0000, 0.0000)  2 Cl 2.32

=====

# 8
La6Ge2BiI3: optimized geometry, PBE-GGA.

## Properties
formation energy without anion corrections: -1.091 eV per atom
DFT total energy: -5.0349 eV per atom

Unit cell a=4.5438 b=9.3057 c=10.3374 alpha=103.83 beta=102.70 gamma=90.00
Last column: nearest neighbours and their distance in Å.
Element x y z (fractional)
La (0.0174, 0.2535, 0.0347)  1 Ge 2.96, 2 Bi 3.23, 2 I 3.31
La (0.6765, 0.5610, 0.3529)  3 Ge 3.03-3.06
La (0.9826, 0.7465, 0.9653)  1 Ge 2.96, 2 Bi 3.23, 2 I 3.31
La (0.3320, 0.8748, 0.6640)  2 Ge 3.01, 1 Bi 3.30, 1 I 3.36
La (0.3235, 0.4390, 0.6471)  3 Ge 3.03-3.06
La (0.6680, 0.1252, 0.3360)  2 Ge 3.01, 1 Bi 3.30, 1 I 3.36
Ge (0.1688, 0.3373, 0.3377)  6 La 2.96-3.06
Ge (0.8312, 0.6627, 0.6623)  6 La 2.96-3.06
I (0.5000, 0.5000, 0.0000)  6 La 3.31-3.46
I (0.8380, 0.1659, 0.6759)  6 La 3.36-3.51
I (0.1620, 0.8341, 0.3241)  6 La 3.36-3.51
Bi (0.5000, 0.0000, 0.0000)  6 La 3.23-3.30